First-principles (PBE-GGA) data for an optimized crystal structure of TlInP2O, as listed in Alexandria.

Lattice parameters (Å, degrees): 5.2882 5.2882 4.0278 90.00 90.00 90.00
Last column: nearest neighbours and their distance in Å.
Space group P4/mmm (No. 123)
Unique sites:
Tl1 0.0000 0.0000 0.0000 (multiplicity 1)  8 P 3.32
In1 0.5000 0.5000 0.5000 (multiplicity 1)  2 O 2.01
P1 0.0000 0.5000 0.5000 (multiplicity 2)  2 In 2.64
O1 0.5000 0.5000 0.0000 (multiplicity 1)  2 In 2.01

E, eV/atom: -3.710
Crystal system: tetragonal
Volume, Å³/cell: 112.6